A plane-wave DFT calculation with PBE was carried out for a geometry-optimized Mg2CuBRu structure.

Structure (CIF):
```
data_Mg2CuBRu
_space_group_name_H-M_alt 'P 1'
_space_group_IT_number 1
_space_group_name_Hall 'P 1'
_cell_length_a 4.443
_cell_length_b 4.443
_cell_length_c 3.933
_cell_angle_alpha 90.00
_cell_angle_beta 90.00
_cell_angle_gamma 90.00
loop_
_atom_site_label
_atom_site_fract_x
_atom_site_fract_y
_atom_site_fract_z
Mg1 0.000 0.500 0.000
Mg2 0.500 0.000 0.000
Cu1 0.000 0.000 0.500
B1 0.500 0.500 0.000
Ru1 0.500 0.500 0.500
```

Calculated values
Energy: -22.169 eV/f.u.
Magnetization: 0.00 μB/atom
Energy of formation: 0.214 eV per atom

A plane-wave DFT calculation with PBE was carried out for a geometry-optimized NbAu2Br2 structure.

Structure (CIF):
```
data_NbAu2Br2
_space_group_name_H-M_alt 'P 1'
_space_group_IT_number 1
_space_group_name_Hall 'P 1'
_cell_length_a 10.831
_cell_length_b 10.831
_cell_length_c 10.831
_cell_angle_alpha 160.87
_cell_angle_beta 160.87
_cell_angle_gamma 27.19
loop_
_atom_site_label
_atom_site_fract_x
_atom_site_fract_y
_atom_site_fract_z
Nb1 0.000 0.000 0.000
Au1 0.250 0.750 0.500
Au2 0.750 0.250 0.500
Br1 0.425 0.425 0.000
Br2 0.575 0.575 0.000
```

Calculated values
Formation energy without anion corrections: 0.2282 eV/atom
Energy: -18.829 eV/f.u.
Magnetization: 0.26 μB/atom
Energy relative to the lowest polymorph listed for this composition: 0 meV/atom

A plane-wave DFT calculation with PBE was carried out for a geometry-optimized Er2Cu3Ge4 structure.

Structure (CIF):
```
data_Er2Cu3Ge4
_space_group_name_H-M_alt 'P 1'
_space_group_IT_number 1
_space_group_name_Hall 'P 1'
_cell_length_a 7.865
_cell_length_b 7.865
_cell_length_c 7.450
_cell_angle_alpha 90.00
_cell_angle_beta 90.00
_cell_angle_gamma 137.85
loop_
_atom_site_label
_atom_site_fract_x
_atom_site_fract_y
_atom_site_fract_z
Er1 0.111 0.889 0.908
Er2 0.389 0.611 0.408
Er3 0.611 0.389 0.592
Er4 0.889 0.111 0.092
Cu1 0.000 0.000 0.500
Cu2 0.028 0.472 0.750
Cu3 0.472 0.028 0.250
Cu4 0.500 0.500 0.000
Cu5 0.528 0.972 0.750
Cu6 0.972 0.528 0.250
Ge1 0.181 0.819 0.529
Ge2 0.196 0.304 0.750
Ge3 0.304 0.196 0.250
Ge4 0.319 0.681 0.029
Ge5 0.681 0.319 0.971
Ge6 0.696 0.804 0.750
Ge7 0.804 0.696 0.250
Ge8 0.819 0.181 0.471
```

Calculated values
Energy: -43.769 eV/f.u.
Magnetization: 0.00 μB/atom
Energy of formation: -0.432 eV per atom

A plane-wave DFT calculation with PBE was carried out for a geometry-optimized Mg5Cu4Ag structure.

Structure (CIF):
```
data_Mg5Cu4Ag
_space_group_name_H-M_alt 'P 1'
_space_group_IT_number 1
_space_group_name_Hall 'P 1'
_cell_length_a 3.217
_cell_length_b 3.217
_cell_length_c 15.693
_cell_angle_alpha 90.00
_cell_angle_beta 90.00
_cell_angle_gamma 90.00
loop_
_atom_site_label
_atom_site_fract_x
_atom_site_fract_y
_atom_site_fract_z
Mg1 0.000 0.000 0.000
Mg2 0.000 0.000 0.194
Mg3 0.000 0.000 0.388
Mg4 0.000 0.000 0.612
Mg5 0.000 0.000 0.806
Cu1 0.500 0.500 0.097
Cu2 0.500 0.500 0.290
Cu3 0.500 0.500 0.710
Cu4 0.500 0.500 0.903
Ag1 0.500 0.500 0.500
```

Calculated values
Energy: -28.443 eV/f.u.
Magnetization: 0.00 μB/atom
Energy of formation: -0.123 eV per atom